BeGaCuPd after structural relaxation, computed with PBE-GGA.

Summary:
Fermi-level density of states in states/eV/cell: 2.2
Size of the total moment in μB per atom: 0.000
Energy of formation in eV/atom: -0.28
Space group: F-43m (216)
Uncorrected energy in eV per atom: -4.287
Crystal system: cubic

Cell lengths 4.1539, 4.1539, 4.1539 Å; angles 60.00, 60.00, 60.00 degrees
Last column: nearest neighbours and their distance in Å.
Element x y z (fractional)
Be (0.0000, 0.0000, 0.0000)  4 Cu 2.54, 4 Pd 2.54
Ga (0.5000, 0.5000, 0.5000)  4 Cu 2.54, 4 Pd 2.54
Cu (0.2500, 0.2500, 0.2500)  4 Be 2.54, 4 Ga 2.54
Pd (0.7500, 0.7500, 0.7500)  4 Be 2.54, 4 Ga 2.54

CdOsBrCl after structural relaxation, computed with PBE-GGA.

Summary:
Size of the total moment in μB per atom: 0.000
Polymorph energy (0 for the lowest one) in kJ/mol of formula units: 10
Formation energy without anion corrections in eV per atom: 0.165
Space group: Cm (8)
Uncorrected energy in eV per atom: -3.751
Crystal system: monoclinic

Cell lengths 3.5672, 3.5672, 8.3714 Å; angles 102.34, 102.34, 60.04 degrees
Last column: nearest neighbours and their distance in Å.
Element x y z (fractional)
Cd (0.0000, 0.0000, 0.0000)  3 Cl 2.70, 3 Os 2.92
Os (0.2478, 0.2478, 0.7446)  3 Br 2.42
Br (0.5291, 0.5291, 0.5884)  3 Os 2.42
Cl (0.7382, 0.7382, 0.2153)  3 Cd 2.70

Er2Al5Pd after structural relaxation, computed with PBE-GGA.

Summary:
Fermi-level density of states in states/eV/cell: 3.7
Size of the total moment in μB per atom: 0.000
Energy of formation in eV/atom: -0.50
Space group: I4/mmm (139)
Uncorrected energy in eV per atom: -4.627
Crystal system: tetragonal

Cell lengths 5.9737, 5.9737, 5.9737 Å; angles 120.18, 120.18, 89.69 degrees
Last column: nearest neighbours and their distance in Å.
Element x y z (fractional)
Er (0.0000, 0.5000, 0.5000)  10 Al 2.98-2.99, 2 Pd 2.98
Er (0.5000, 0.0000, 0.5000)  10 Al 2.98-2.99, 2 Pd 2.98
Al (0.0000, 0.0000, 0.0000)  4 Er 2.98, 8 Al 2.99
Al (0.0000, 0.0000, 0.5000)  6 Al 2.98-2.99, 4 Er 2.99, 2 Pd 2.99
Al (0.0000, 0.5000, 0.0000)  6 Al 2.98-2.99, 4 Er 2.99, 2 Pd 2.99
Al (0.5000, 0.0000, 0.0000)  6 Al 2.98-2.99, 4 Er 2.99, 2 Pd 2.99
Al (0.5000, 0.5000, 0.5000)  6 Al 2.98-2.99, 4 Er 2.99, 2 Pd 2.99
Pd (0.5000, 0.5000, 0.0000)  4 Er 2.98, 8 Al 2.99